VASP calculation (GGA-PBE) on crystalline KBa2Ir at its relaxed geometry.

Cell and atoms, written as POSCAR:
```
KBa2Ir
1.0
-5.0047 5.0047 3.7999
5.0047 -5.0047 3.7999
5.0047 5.0047 -3.7999
K Ba Ir
2 4 2
Direct
0.0000 0.0000 0.0000
0.7500 0.2500 0.5000
0.2431 0.6250 0.1181
0.3750 0.4931 0.6181
0.5069 0.1250 0.8819
0.8750 0.7569 0.3819
0.2500 0.7500 0.5000
0.5000 0.5000 0.0000
```

Summary:
- Mass density: 4.414 g cm⁻³
- Uncorrected energy: -3.2572 eV per atom
- Polymorph energy (0 for the lowest one): 0.2393 eV/atom
- Formation energy from the elements: 0.194 eV/atom

VASP calculation (GGA-PBE) on crystalline Tl2CuO3 at its relaxed geometry.

Cell and atoms, written as POSCAR:
```
Tl2CuO3
1.0
-1.8476 5.5540 2.4404
1.8476 -5.5540 2.4404
1.8476 5.5540 -2.4404
Tl Cu O
2 1 3
Direct
0.1608 0.0000 0.1608
0.8392 0.0000 0.8392
0.5291 0.0291 0.5000
0.1349 0.7856 0.3493
0.4363 0.7856 0.6507
0.6951 0.6951 0.0000
```

Summary:
- Mass density: 8.625 g cm⁻³
- Uncorrected energy: -4.4339 eV per atom
- Formation energy without anion corrections: -483 meV/atom

VASP calculation (GGA-PBE) on crystalline Tl2AgCl at its relaxed geometry.

Cell and atoms, written as POSCAR:
```
Tl2AgCl
1.0
0.0000 3.7991 3.7991
3.7991 0.0000 3.7991
3.7991 3.7991 0.0000
Tl Ag Cl
2 1 1
Direct
0.0000 0.0000 0.0000
0.2500 0.2500 0.2500
0.5000 0.5000 0.5000
0.7500 0.7500 0.7500
```

Summary:
- Mass density: 8.359 g cm⁻³
- Uncorrected energy: -2.4385 eV per atom
- Polymorph energy (0 for the lowest one): 0.2645 eV/atom
- Formation energy without anion corrections: -81 meV/atom

VASP calculation (GGA-PBE) on crystalline SiRhBr2 at its relaxed geometry.

Cell and atoms, written as POSCAR:
```
SiRhBr2
1.0
-2.6238 2.6238 3.0964
2.6238 -2.6238 3.0964
2.6238 2.6238 -3.0964
Si Rh Br
1 1 2
Direct
0.0000 0.0000 0.0000
0.5000 0.5000 0.0000
0.0000 0.5000 0.5000
0.5000 0.0000 0.5000
```

Summary:
- Mass density: 5.663 g cm⁻³
- Uncorrected energy: -3.5736 eV per atom
- Polymorph energy (0 for the lowest one): 0.6460 eV/atom
- Formation energy without anion corrections: 456 meV/atom